Entry 1:
A plane-wave DFT calculation with PBE-GGA was carried out for a relaxed U2Pd9Rh crystal.

Cell: 4.113 4.113 11.948 Å, 90.00 90.00 90.00°
Fractional positions:
U: 0.000 0.000 0.179
U: 0.000 0.000 0.821
Pd: 0.000 0.500 0.000
Pd: 0.000 0.500 0.339
Pd: 0.000 0.500 0.661
Pd: 0.500 0.000 0.000
Pd: 0.500 0.000 0.339
Pd: 0.500 0.000 0.661
Pd: 0.500 0.500 0.169
Pd: 0.500 0.500 0.500
Pd: 0.500 0.500 0.831
Rh: 0.000 0.000 0.500

Values from the calculation:
Electronic total energy: -6.719 eV/atom
Symmetry: P4/mmm, No. 123

Entry 2:
A plane-wave DFT calculation with PBE-GGA was carried out for a relaxed ScGa3Rh crystal.

Cell: 6.530 6.530 5.598 Å, 90.13 90.13 47.58°
Fractional positions:
Sc: 0.078 0.078 0.250
Sc: 0.922 0.922 0.750
Ga: 0.107 0.609 0.249
Ga: 0.323 0.323 0.749
Ga: 0.391 0.893 0.751
Ga: 0.609 0.107 0.249
Ga: 0.677 0.677 0.251
Ga: 0.893 0.391 0.751
Rh: 0.500 0.500 0.000
Rh: 0.500 0.500 0.500

Values from the calculation:
Symmetry: C2/m, No. 12
E above lowest polymorph: 0.1345 eV per atom

Entry 3:
A plane-wave DFT calculation with PBE-GGA was carried out for a relaxed KSc2Rh crystal.

Cell: 7.126 7.126 7.126 Å, 90.00 90.00 90.00°
Fractional positions:
K: 0.000 0.000 0.000
K: 0.000 0.500 0.500
K: 0.500 0.000 0.500
K: 0.500 0.500 0.000
Sc: 0.000 0.000 0.500
Sc: 0.000 0.500 0.000
Sc: 0.250 0.250 0.750
Sc: 0.250 0.750 0.250
Sc: 0.500 0.000 0.000
Sc: 0.500 0.500 0.500
Sc: 0.750 0.250 0.250
Sc: 0.750 0.750 0.750
Rh: 0.250 0.250 0.250
Rh: 0.250 0.750 0.750
Rh: 0.750 0.250 0.750
Rh: 0.750 0.750 0.250

Values from the calculation:
Symmetry: F-43m, No. 216
E above lowest polymorph: 0.7813 eV per atom

Entry 4:
A plane-wave DFT calculation with PBE-GGA was carried out for a relaxed Sm7Zn2Ag2 crystal.

Cell: 6.634 6.634 7.873 Å, 90.00 90.00 110.74°
Fractional positions:
Sm: 0.000 0.000 0.000
Sm: 0.000 0.500 0.290
Sm: 0.000 0.500 0.710
Sm: 0.500 0.000 0.290
Sm: 0.500 0.000 0.710
Sm: 0.500 0.500 0.274
Sm: 0.500 0.500 0.726
Zn: 0.166 0.166 0.500
Zn: 0.834 0.834 0.500
Ag: 0.293 0.707 0.000
Ag: 0.707 0.293 0.000

Values from the calculation:
Electronic total energy: -3.699 eV/atom
Symmetry: Cmmm, No. 65

Entry 5:
A plane-wave DFT calculation with PBE-GGA was carried out for a relaxed Ac3Br3N crystal.

Cell: 9.005 4.062 12.043 Å, 90.00 94.49 90.00°
Fractional positions:
Ac: 0.088 0.250 0.394
Ac: 0.126 0.250 0.838
Ac: 0.319 0.750 0.621
Ac: 0.681 0.250 0.379
Ac: 0.874 0.750 0.162
Ac: 0.912 0.750 0.606
Br: 0.139 0.250 0.120
Br: 0.381 0.750 0.362
Br: 0.392 0.750 0.878
Br: 0.608 0.250 0.122
Br: 0.619 0.250 0.638
Br: 0.861 0.750 0.880
N: 0.127 0.250 0.619
N: 0.873 0.750 0.381

Values from the calculation:
E_form (uncorrected): -1464.2 meV per atom
Symmetry: P2_1/m, No. 11

Entry 6:
A plane-wave DFT calculation with PBE-GGA was carried out for a relaxed NaThAgF6 crystal.

Cell: 5.442 5.442 11.097 Å, 90.00 90.00 90.00°
Fractional positions:
Na: 0.000 0.000 0.000
Na: 0.500 0.500 0.500
Th: 0.000 0.000 0.336
Th: 0.500 0.500 0.836
Ag: 0.000 0.000 0.669
Ag: 0.500 0.500 0.169
F: 0.185 0.185 0.178
F: 0.202 0.202 0.482
F: 0.208 0.208 0.845
F: 0.292 0.708 0.345
F: 0.298 0.702 0.982
F: 0.315 0.685 0.678
F: 0.685 0.315 0.678
F: 0.702 0.298 0.982
F: 0.708 0.292 0.345
F: 0.792 0.792 0.845
F: 0.798 0.798 0.482
F: 0.815 0.815 0.178

Values from the calculation:
E_form (uncorrected): -3112.2 meV per atom
Symmetry: P4_2nm, No. 102

Entry 7:
A plane-wave DFT calculation with PBE-GGA was carried out for a relaxed LaY2ErP4 crystal.

Cell: 7.048 4.073 7.049 Å, 90.00 109.42 90.00°
Fractional positions:
La: 0.000 0.000 0.000
Y: 0.000 0.500 0.500
Y: 0.500 0.000 0.500
Er: 0.500 0.500 0.000
P: 0.256 0.000 0.748
P: 0.260 0.500 0.258
P: 0.740 0.500 0.742
P: 0.744 0.000 0.252

Values from the calculation:
Electronic total energy: -7.097 eV/atom
Symmetry: P2/m, No. 10

Entry 8:
A plane-wave DFT calculation with PBE-GGA was carried out for a relaxed ScGa3Pd7 crystal.

Cell: 5.887 5.887 5.296 Å, 95.27 95.27 90.91°
Fractional positions:
Sc: 0.000 0.000 0.000
Ga: 0.294 0.706 0.500
Ga: 0.500 0.500 0.000
Ga: 0.706 0.294 0.500
Pd: 0.000 0.000 0.500
Pd: 0.092 0.434 0.774
Pd: 0.295 0.295 0.300
Pd: 0.434 0.092 0.774
Pd: 0.566 0.908 0.226
Pd: 0.705 0.705 0.700
Pd: 0.908 0.566 0.226

Values from the calculation:
Electronic total energy: -5.265 eV/atom
Symmetry: C2/m, No. 12

Entry 9:
A plane-wave DFT calculation with PBE-GGA was carried out for a relaxed Ba2TlSe crystal.

Cell: 12.831 4.381 5.501 Å, 90.00 98.87 90.00°
Fractional positions:
Ba: 0.000 0.000 0.000
Ba: 0.243 0.500 0.533
Ba: 0.500 0.500 0.000
Ba: 0.743 0.000 0.533
Tl: 0.467 0.000 0.478
Tl: 0.967 0.500 0.478
Se: 0.268 0.000 0.057
Se: 0.768 0.500 0.057

Values from the calculation:
E_form (uncorrected): -940.4 meV per atom
Symmetry: Cm, No. 8
E above lowest polymorph: 0.1354 eV per atom

Entry 10:
A plane-wave DFT calculation with PBE-GGA was carried out for a relaxed GdGeIr crystal.

Cell: 3.851 3.851 8.541 Å, 90.00 90.00 90.00°
Fractional positions:
Gd: 0.000 0.000 0.000
Gd: 0.500 0.500 0.500
Ge: 0.000 0.000 0.668
Ge: 0.500 0.500 0.168
Ir: 0.000 0.000 0.374
Ir: 0.500 0.500 0.874

Values from the calculation:
Electronic total energy: -9.486 eV/atom
Symmetry: I4mm, No. 107

Entry 11:
A plane-wave DFT calculation with PBE-GGA was carried out for a relaxed Ca2CdAu3 crystal.

Cell: 7.784 4.052 17.870 Å, 90.00 90.00 90.00°
Fractional positions:
Ca: 0.076 0.250 0.216
Ca: 0.148 0.250 0.433
Ca: 0.352 0.750 0.933
Ca: 0.424 0.750 0.716
Ca: 0.576 0.250 0.284
Ca: 0.648 0.250 0.067
Ca: 0.852 0.750 0.567
Ca: 0.924 0.750 0.784
Cd: 0.003 0.750 0.064
Cd: 0.497 0.250 0.564
Cd: 0.503 0.750 0.436
Cd: 0.997 0.250 0.936
Au: 0.098 0.250 0.660
Au: 0.225 0.250 0.813
Au: 0.239 0.750 0.558
Au: 0.261 0.250 0.058
Au: 0.275 0.750 0.313
Au: 0.402 0.750 0.160
Au: 0.598 0.250 0.840
Au: 0.725 0.250 0.687
Au: 0.739 0.750 0.942
Au: 0.761 0.250 0.442
Au: 0.775 0.750 0.187
Au: 0.902 0.750 0.340

Values from the calculation:
Symmetry: Pnma, No. 62
E above lowest polymorph: 0.0000 eV per atom

Entry 12:
A plane-wave DFT calculation with PBE-GGA was carried out for a relaxed Zn3Ga7Ag crystal.

Cell: 6.845 6.845 5.246 Å, 111.69 111.69 91.56°
Fractional positions:
Zn: 0.000 0.000 0.000
Zn: 0.235 0.765 0.500
Zn: 0.765 0.235 0.500
Ga: 0.063 0.590 0.820
Ga: 0.174 0.174 0.750
Ga: 0.410 0.937 0.180
Ga: 0.500 0.500 0.500
Ga: 0.590 0.063 0.820
Ga: 0.826 0.826 0.250
Ga: 0.937 0.410 0.180
Ag: 0.500 0.500 0.000

Values from the calculation:
Electronic total energy: -2.444 eV/atom
Symmetry: C2/m, No. 12

What ρ values result from the calculations? In sequence: 12.63; 6.73; 4.26; 7.17; 7.07; 4.82; 5.29; 9.12; 6.07; 11.07; 9.23; 6.31 g/cm³.